! Np2MnP4Ir3 (PBE-GGA, relaxed); values from VASP
&SYSTEM
  ibrav = 0, nat = 10, ntyp = 4
/
ATOMIC_SPECIES
Ir 192.22 Ir.upf
P 30.97 P.upf
Np 237.00 Np.upf
Mn 54.94 Mn.upf
CELL_PARAMETERS angstrom
-3.6314 -1.8436 0.6935
1.9629 -3.2666 1.5949
-0.3707 3.9287 8.5028
ATOMIC_POSITIONS crystal
Ir 0.0000 0.5000 0.1169
Ir 0.5000 0.0000 0.8831
Ir 0.0000 0.0000 0.5000
P 0.5000 0.5000 0.0000
P 0.0000 0.5000 0.3690
P 0.0000 0.0000 0.0000
P 0.5000 0.0000 0.6310
Np 0.5000 0.0000 0.2487
Np 0.0000 0.5000 0.7513
Mn 0.5000 0.5000 0.5000
! * calculated total energy: -89.99 eV for the cell shown
! * formation energy from the elements: -648 kJ/mol of formula units

! NaLiPaS3 (PBE-GGA, relaxed); values from VASP
&SYSTEM
  ibrav = 0, nat = 12, ntyp = 4
/
ATOMIC_SPECIES
S 32.06 S.upf
Na 22.99 Na.upf
Li 6.94 Li.upf
Pa 231.04 Pa.upf
CELL_PARAMETERS angstrom
-1.1180 3.1533 2.2701
-7.9662 1.3366 -5.7797
-2.7516 -4.4675 4.8506
ATOMIC_POSITIONS crystal
S 0.2500 0.8297 0.4573
S 0.2500 0.1847 0.9904
S 0.7500 0.8153 0.0096
S 0.7500 0.1703 0.5427
S 0.7500 0.5050 0.2288
S 0.2500 0.4950 0.7712
Na 0.2500 0.3176 0.3779
Na 0.7500 0.6824 0.6221
Li 0.7500 0.9421 0.3423
Li 0.2500 0.0579 0.6577
Pa 0.7500 0.3293 0.8784
Pa 0.2500 0.6707 0.1216
! * raw formation energy: -1465 meV per atom
! * calculated total energy: -67.80 eV for the cell shown

! Eu2GePb (PBE-GGA, relaxed); values from VASP
&SYSTEM
  ibrav = 0, nat = 4, ntyp = 3
/
ATOMIC_SPECIES
Ge 72.64 Ge.upf
Eu 151.96 Eu.upf
Pb 207.20 Pb.upf
CELL_PARAMETERS angstrom
4.5460 0.0000 0.0000
0.0000 5.0004 0.0000
0.0000 0.0000 5.0004
ATOMIC_POSITIONS crystal
Ge 0.5000 0.0000 0.0000
Eu 0.0000 0.5000 0.0000
Eu 0.0000 0.0000 0.5000
Pb 0.5000 0.5000 0.5000
! * calculated total energy: -30.90 eV for the cell shown
! * formation energy from the elements: -196 kJ/mol of formula units

! BaZn2AsO (PBE-GGA, relaxed); values from VASP
&SYSTEM
  ibrav = 0, nat = 10, ntyp = 4
/
ATOMIC_SPECIES
O 16.00 O.upf
As 74.92 As.upf
Zn 65.41 Zn.upf
Ba 137.33 Ba.upf
CELL_PARAMETERS angstrom
-2.7747 2.9772 -0.2224
-2.8558 -5.3332 1.5824
1.2026 1.7146 7.9490
ATOMIC_POSITIONS crystal
O 0.0000 0.0000 0.0000
O 0.0000 0.0000 0.5000
As 0.7276 0.4552 0.7500
As 0.2724 0.5448 0.2500
Zn 0.1709 0.3418 0.5517
Zn 0.1709 0.3418 0.9483
Zn 0.8291 0.6582 0.0517
Zn 0.8291 0.6582 0.4483
Ba 0.4534 0.9067 0.7500
Ba 0.5466 0.0933 0.2500
! * raw formation energy: -1020 meV per atom
! * calculated total energy: -38.35 eV for the cell shown

! Tb2Nd3Tm2 (PBE-GGA, relaxed); values from VASP
&SYSTEM
  ibrav = 0, nat = 7, ntyp = 3
/
ATOMIC_SPECIES
Tm 168.93 Tm.upf
Nd 144.24 Nd.upf
Tb 158.93 Tb.upf
CELL_PARAMETERS angstrom
3.5194 0.0000 0.0000
0.0000 8.5183 -0.7420
-1.7597 -3.5367 8.0530
ATOMIC_POSITIONS crystal
Tm 0.8557 0.6754 0.7114
Tm 0.1443 0.3246 0.2886
Nd 0.7866 0.2033 0.5732
Nd 0.2134 0.7967 0.4268
Nd 0.0000 0.5000 0.0000
Tb 0.4354 0.0889 0.8708
Tb 0.5646 0.9111 0.1292
! * calculated total energy: -31.70 eV for the cell shown
! * energy above the lowest structure with this stoichiometry: 97 meV per atom
! * formation energy from the elements: 78 kJ/mol of formula units

! Re2IrW (PBE-GGA, relaxed); values from VASP
&SYSTEM
  ibrav = 0, nat = 4, ntyp = 3
/
ATOMIC_SPECIES
W 183.84 W.upf
Ir 192.22 Ir.upf
Re 186.21 Re.upf
CELL_PARAMETERS angstrom
-3.4560 3.1177 -1.1600
-4.5265 0.5852 -1.4757
-2.1837 0.3872 4.2981
ATOMIC_POSITIONS crystal
W 0.7500 0.7500 0.7500
Ir 0.2500 0.2500 0.2500
Re 0.5026 0.5026 0.4939
Re 0.9974 0.9974 0.0061
! * calculated total energy: -46.81 eV for the cell shown
! * energy above the lowest structure with this stoichiometry: 72 meV per atom
! * formation energy from the elements: -10 kJ/mol of formula units

! Nb5VMo4 (PBE-GGA, relaxed); values from VASP
&SYSTEM
  ibrav = 0, nat = 10, ntyp = 3
/
ATOMIC_SPECIES
Mo 95.94 Mo.upf
Nb 92.91 Nb.upf
V 50.94 V.upf
CELL_PARAMETERS angstrom
3.2272 0.0000 0.0000
0.0000 3.2272 0.0000
0.0000 0.0000 16.0804
ATOMIC_POSITIONS crystal
Mo 0.0000 0.0000 0.8028
Mo 0.0000 0.0000 0.6008
Mo 0.0000 0.0000 0.1972
Mo 0.0000 0.0000 0.3992
Nb 0.5000 0.5000 0.0983
Nb 0.5000 0.5000 0.2989
Nb 0.5000 0.5000 0.5000
Nb 0.5000 0.5000 0.9017
Nb 0.5000 0.5000 0.7011
V 0.0000 0.0000 0.0000
! * calculated total energy: -103.81 eV for the cell shown
! * formation energy from the elements: -98 kJ/mol of formula units

! Ca2AlGe4Pt3 (PBE-GGA, relaxed); values from VASP
&SYSTEM
  ibrav = 0, nat = 10, ntyp = 4
/
ATOMIC_SPECIES
Ge 72.64 Ge.upf
Ca 40.08 Ca.upf
Al 26.98 Al.upf
Pt 195.08 Pt.upf
CELL_PARAMETERS angstrom
4.2007 0.0000 0.0000
0.0000 4.2007 0.0000
0.0000 0.0000 10.9222
ATOMIC_POSITIONS crystal
Ge 0.5000 0.0000 0.6429
Ge 0.0000 0.0000 0.0000
Ge 0.5000 0.5000 0.0000
Ge 0.0000 0.5000 0.3571
Ca 0.0000 0.5000 0.7485
Ca 0.5000 0.0000 0.2515
Al 0.5000 0.5000 0.5000
Pt 0.0000 0.0000 0.5000
Pt 0.0000 0.5000 0.1301
Pt 0.5000 0.0000 0.8699
! * calculated total energy: -51.60 eV for the cell shown
! * formation energy from the elements: -701 kJ/mol of formula units